A plane-wave DFT calculation with PBE was carried out for a relaxed Pu3P4Pd2 crystal.

```
data_Pu3P4Pd2
_symmetry_space_group_name_H-M 'P 1'
_symmetry_Int_Tables_number 1
_symmetry_space_group_name_Hall 'P 1'
_cell_length_a 3.9448
_cell_length_b 6.5284
_cell_length_c 7.5081
_cell_angle_alpha 111.20
_cell_angle_beta 105.23
_cell_angle_gamma 90.00
loop_
_atom_site_label
_atom_site_fract_x
_atom_site_fract_y
_atom_site_fract_z
Pu1 0.1386 0.5709 0.2771
Pu2 0.8614 0.4291 0.7229
Pu3 0.0000 0.0000 0.0000
P1 0.4886 0.3130 0.9773
P2 0.7917 0.7732 0.5835
P3 0.2083 0.2268 0.4165
P4 0.5114 0.6870 0.0227
Pd1 0.3237 0.0131 0.6475
Pd2 0.6763 0.9869 0.3525
```

ΔE_f   -88.0 kJ/mol of atoms


A plane-wave DFT calculation with PBE was carried out for a relaxed La2IrCl crystal.

```
data_La2IrCl
_symmetry_space_group_name_H-M 'P 1'
_symmetry_Int_Tables_number 1
_symmetry_space_group_name_Hall 'P 1'
_cell_length_a 10.4317
_cell_length_b 10.4317
_cell_length_c 10.4317
_cell_angle_alpha 21.41
_cell_angle_beta 21.41
_cell_angle_gamma 21.41
loop_
_atom_site_label
_atom_site_fract_x
_atom_site_fract_y
_atom_site_fract_z
La1 0.0179 0.0179 0.0179
La2 0.2372 0.2372 0.2372
Ir1 0.7349 0.7349 0.7349
Cl1 0.5099 0.5099 0.5099
```

ΔE to the lowest computed polymorph   0.915 eV per atom


A plane-wave DFT calculation with PBE was carried out for a relaxed Pm4HoGe5 crystal.

```
data_Pm4HoGe5
_symmetry_space_group_name_H-M 'P 1'
_symmetry_Int_Tables_number 1
_symmetry_space_group_name_Hall 'P 1'
_cell_length_a 5.9821
_cell_length_b 7.3374
_cell_length_c 7.3374
_cell_angle_alpha 80.43
_cell_angle_beta 65.94
_cell_angle_gamma 65.94
loop_
_atom_site_label
_atom_site_fract_x
_atom_site_fract_y
_atom_site_fract_z
Ge1 0.2965 0.8036 0.6054
Ge2 0.5011 0.0000 0.0000
Ge3 0.7055 0.1964 0.3946
Ge4 0.9019 0.3946 0.8036
Ge5 0.1001 0.6054 0.1964
Pm1 0.8009 0.7981 0.6021
Pm2 0.4030 0.3979 0.7981
Pm3 0.2011 0.2019 0.3979
Pm4 0.5991 0.6021 0.2019
Ho1 0.0011 0.0000 0.0000
```

ΔE_f   -63.7 kJ/mol of atoms


A plane-wave DFT calculation with PBE was carried out for a relaxed SrTl2Mo crystal.

```
data_SrTl2Mo
_symmetry_space_group_name_H-M 'P 1'
_symmetry_Int_Tables_number 1
_symmetry_space_group_name_Hall 'P 1'
_cell_length_a 5.3031
_cell_length_b 5.3031
_cell_length_c 5.3031
_cell_angle_alpha 60.00
_cell_angle_beta 60.00
_cell_angle_gamma 60.00
loop_
_atom_site_label
_atom_site_fract_x
_atom_site_fract_y
_atom_site_fract_z
Mo1 0.5000 0.5000 0.5000
Tl1 0.2500 0.2500 0.2500
Tl2 0.7500 0.7500 0.7500
Sr1 0.0000 0.0000 0.0000
```

ΔE to the lowest computed polymorph   0.080 eV per atom
ΔE_f   45.5 kJ/mol of atoms


A plane-wave DFT calculation with PBE was carried out for a relaxed La6HgPt2 crystal.

```
data_La6HgPt2
_symmetry_space_group_name_H-M 'P 1'
_symmetry_Int_Tables_number 1
_symmetry_space_group_name_Hall 'P 1'
_cell_length_a 5.3040
_cell_length_b 5.9448
_cell_length_c 9.5161
_cell_angle_alpha 96.95
_cell_angle_beta 90.00
_cell_angle_gamma 116.49
loop_
_atom_site_label
_atom_site_fract_x
_atom_site_fract_y
_atom_site_fract_z
La1 0.0658 0.1316 0.8494
La2 0.3864 0.7728 0.8380
La3 0.6136 0.2272 0.1620
La4 0.9342 0.8684 0.1506
La5 0.6871 0.3743 0.5969
La6 0.3129 0.6257 0.4031
Pt1 0.7339 0.4677 0.8879
Pt2 0.2661 0.5323 0.1121
Hg1 0.0000 0.0000 0.5000
```

ΔE_f   -58.8 kJ/mol of atoms


A plane-wave DFT calculation with PBE was carried out for a relaxed Mg2TiIn3S8 crystal.

```
data_Mg2TiIn3S8
_symmetry_space_group_name_H-M 'P 1'
_symmetry_Int_Tables_number 1
_symmetry_space_group_name_Hall 'P 1'
_cell_length_a 7.6463
_cell_length_b 7.5950
_cell_length_c 7.6462
_cell_angle_alpha 59.78
_cell_angle_beta 59.99
_cell_angle_gamma 59.77
loop_
_atom_site_label
_atom_site_fract_x
_atom_site_fract_y
_atom_site_fract_z
In1 0.5001 0.5000 0.4999
In2 0.4999 0.5000 0.0000
In3 0.0000 0.5000 0.5001
S1 0.2662 0.2413 0.7262
S2 0.2573 0.7282 0.2573
S3 0.7337 0.7587 0.7338
S4 0.7427 0.2718 0.7427
S5 0.2738 0.7587 0.7338
S6 0.7262 0.2413 0.2662
S7 0.7339 0.7587 0.2738
S8 0.2662 0.2413 0.2662
Mg1 0.1243 0.1273 0.1242
Mg2 0.8757 0.8728 0.8758
Ti1 0.5000 0.0000 0.5000
```

E_tot   -65.2 eV per cell


A plane-wave DFT calculation with PBE was carried out for a relaxed GaAg2O crystal.

```
data_GaAg2O
_symmetry_space_group_name_H-M 'P 1'
_symmetry_Int_Tables_number 1
_symmetry_space_group_name_Hall 'P 1'
_cell_length_a 4.4083
_cell_length_b 4.4083
_cell_length_c 4.4083
_cell_angle_alpha 60.00
_cell_angle_beta 60.00
_cell_angle_gamma 60.00
loop_
_atom_site_label
_atom_site_fract_x
_atom_site_fract_y
_atom_site_fract_z
Ag1 0.2500 0.2500 0.2500
Ag2 0.7500 0.7500 0.7500
Ga1 0.5000 0.5000 0.5000
O1 0.0000 0.0000 0.0000
```

ΔE to the lowest computed polymorph   0.043 eV per atom


A plane-wave DFT calculation with PBE was carried out for a relaxed LaZrTa2 crystal.

```
data_LaZrTa2
_symmetry_space_group_name_H-M 'P 1'
_symmetry_Int_Tables_number 1
_symmetry_space_group_name_Hall 'P 1'
_cell_length_a 3.4557
_cell_length_b 3.4557
_cell_length_c 7.8383
_cell_angle_alpha 90.00
_cell_angle_beta 90.00
_cell_angle_gamma 90.00
loop_
_atom_site_label
_atom_site_fract_x
_atom_site_fract_y
_atom_site_fract_z
Ta1 0.5000 0.5000 0.2302
Ta2 0.0000 0.0000 0.0546
Zr1 0.0000 0.0000 0.4482
La1 0.5000 0.5000 0.7669
```

ΔE to the lowest computed polymorph   0.000 eV per atom
ΔE_f   19.9 kJ/mol of atoms


A plane-wave DFT calculation with PBE was carried out for a relaxed Tb3YNi crystal.

```
data_Tb3YNi
_symmetry_space_group_name_H-M 'P 1'
_symmetry_Int_Tables_number 1
_symmetry_space_group_name_Hall 'P 1'
_cell_length_a 3.6285
_cell_length_b 6.3203
_cell_length_c 12.6756
_cell_angle_alpha 87.86
_cell_angle_beta 81.77
_cell_angle_gamma 73.32
loop_
_atom_site_label
_atom_site_fract_x
_atom_site_fract_y
_atom_site_fract_z
Ni1 0.4357 0.3436 0.7849
Ni2 0.7785 0.3210 0.1220
Tb1 0.4367 0.6124 0.5141
Tb2 0.7763 0.0517 0.3957
Tb3 0.4408 0.9642 0.1542
Tb4 0.0984 0.1672 0.6360
Tb5 0.7697 0.7060 0.7546
Tb6 0.9900 0.1081 0.9119
Y1 0.1140 0.5000 0.2719
Y2 0.2206 0.5626 0.9963
```

ΔE to the lowest computed polymorph   0.000 eV per atom
ΔE_f   -15.5 kJ/mol of atoms


A plane-wave DFT calculation with PBE was carried out for a relaxed LaTb2DyY5 crystal.

```
data_LaTb2DyY5
_symmetry_space_group_name_H-M 'P 1'
_symmetry_Int_Tables_number 1
_symmetry_space_group_name_Hall 'P 1'
_cell_length_a 8.9010
_cell_length_b 8.9010
_cell_length_c 9.8264
_cell_angle_alpha 116.93
_cell_angle_beta 116.93
_cell_angle_gamma 90.00
loop_
_atom_site_label
_atom_site_fract_x
_atom_site_fract_y
_atom_site_fract_z
Y1 0.1622 0.0728 0.7350
Y2 0.0728 0.5728 0.7350
Y3 0.5000 0.5000 0.0000
Y4 0.4272 0.3378 0.2650
Y5 0.3378 0.8378 0.2650
Y6 0.5728 0.6622 0.7350
Y7 0.6622 0.1622 0.7350
Y8 0.9272 0.4272 0.2650
Y9 0.0000 0.0000 0.0000
Y10 0.8378 0.9272 0.2650
Tb1 0.1140 0.3860 0.0000
Tb2 0.3860 0.8860 0.0000
Tb3 0.8860 0.6140 0.0000
Tb4 0.6140 0.1140 0.0000
La1 0.7500 0.7500 0.5000
La2 0.2500 0.2500 0.5000
Dy1 0.2500 0.7500 0.5000
Dy2 0.7500 0.2500 0.5000
```

ΔE_f   25.6 kJ/mol of atoms


A plane-wave DFT calculation with PBE was carried out for a relaxed PPd2N crystal.

```
data_PPd2N
_symmetry_space_group_name_H-M 'P 1'
_symmetry_Int_Tables_number 1
_symmetry_space_group_name_Hall 'P 1'
_cell_length_a 4.1268
_cell_length_b 4.1268
_cell_length_c 4.1268
_cell_angle_alpha 60.00
_cell_angle_beta 60.00
_cell_angle_gamma 60.00
loop_
_atom_site_label
_atom_site_fract_x
_atom_site_fract_y
_atom_site_fract_z
Pd1 0.7500 0.7500 0.7500
Pd2 0.2500 0.2500 0.2500
N1 0.0000 0.0000 0.0000
P1 0.5000 0.5000 0.5000
```

ΔE to the lowest computed polymorph   0.201 eV per atom


A plane-wave DFT calculation with PBE was carried out for a relaxed RbVFeSe3 crystal.

```
data_RbVFeSe3
_symmetry_space_group_name_H-M 'P 1'
_symmetry_Int_Tables_number 1
_symmetry_space_group_name_Hall 'P 1'
_cell_length_a 3.6642
_cell_length_b 8.8206
_cell_length_c 9.9852
_cell_angle_alpha 118.10
_cell_angle_beta 90.00
_cell_angle_gamma 90.00
loop_
_atom_site_label
_atom_site_fract_x
_atom_site_fract_y
_atom_site_fract_z
Se1 0.2500 0.7628 0.4467
Se2 0.7500 0.2372 0.5533
Se3 0.2500 0.5271 0.8777
Se4 0.7500 0.4729 0.1223
Se5 0.7500 0.8820 0.1444
Se6 0.2500 0.1180 0.8556
V1 0.7500 0.2986 0.8258
V2 0.2500 0.7014 0.1742
Rb1 0.7500 0.7475 0.7409
Rb2 0.2500 0.2525 0.2591
Fe1 0.2500 0.0844 0.6050
Fe2 0.7500 0.9156 0.3950
```

E_tot   -67.0 eV per cell


What is the formula in the second record?
La2IrCl